Entry 1:
A plane-wave DFT calculation with PBE was carried out for a geometry-optimized LiY2Hf structure.

Lattice parameters (Å, degrees): 3.424 3.424 9.034 90.00 90.00 90.00
Fractional coordinates of all 4 atoms:
Y  0.000  0.000  0.747
Y  0.000  0.000  0.253
Hf  0.500  0.500  0.500
Li  0.500  0.500  0.000

The space-group type is P4/mmm, No. 123. As for the total energy: -24.38 eV/cell. As for the distance to the lowest polymorph of the same formula: 0.0 kJ per mole of atoms. The calculation puts the formation energy at 104 meV/atom.



Entry 2:
A plane-wave DFT calculation with PBE was carried out for a geometry-optimized SmLuGa structure.

Lattice parameters (Å, degrees): 4.963 4.963 4.963 60.00 60.00 60.00
Fractional coordinates of all 3 atoms:
Lu  0.500  0.500  0.500
Ga  0.250  0.250  0.250
Sm  0.000  0.000  0.000

The space-group type is F-43m, No. 216. As for the total energy: -12.97 eV/cell. As for the distance to the lowest polymorph of the same formula: 12.2 kJ per mole of atoms. The calculation puts the formation energy at -236 meV/atom.